(1)
The following is a PBE calculation of crystalline La5In2Ge2 at its relaxed geometry, from Alexandria.

Properties
Electronic total energy = -0.183 Ha/atom
Space-group type = Cmce
Formation energy = -0.604 eV per atom
Theoretical density = 6384 kg/m³
Total moment = 0.0 Bohr magnetons per cell

Cell: 9.2610 9.2610 8.2322 Å, 90.00 90.00 51.99°
Last column: nearest neighbours and their distance in Å.
Positions (direct):
La  0.0000  0.0000  0.0000  4 Ge 3.27, 4 La 3.62, 2 In 3.66
La  0.0609  0.6839  0.6805  3 Ge 3.12-3.31, 3 In 3.31-3.41
La  0.1839  0.5609  0.1805  3 Ge 3.12-3.31, 3 In 3.31-3.41
La  0.3161  0.9391  0.6805  3 Ge 3.12-3.31, 3 In 3.31-3.41
La  0.4391  0.8161  0.1805  3 Ge 3.12-3.31, 3 In 3.31-3.41
La  0.5000  0.5000  0.5000  4 Ge 3.27, 4 La 3.62, 2 In 3.66
La  0.5609  0.1839  0.8195  3 Ge 3.12-3.31, 3 In 3.31-3.41
La  0.6839  0.0609  0.3195  3 Ge 3.12-3.31, 3 In 3.31-3.41
La  0.8161  0.4391  0.8195  3 Ge 3.12-3.31, 3 In 3.31-3.41
La  0.9391  0.3161  0.3195  3 Ge 3.12-3.31, 3 In 3.31-3.41
In  0.2199  0.2199  0.0000  7 La 3.31-3.66
In  0.2801  0.2801  0.5000  7 La 3.31-3.66
In  0.7199  0.7199  0.5000  7 La 3.31-3.66
In  0.7801  0.7801  0.0000  7 La 3.31-3.66
Ge  0.1158  0.8842  0.3806  1 Ge 2.72
Ge  0.3842  0.6158  0.8806  1 Ge 2.72
Ge  0.6158  0.3842  0.1194  1 Ge 2.72
Ge  0.8842  0.1158  0.6194  1 Ge 2.72



(2)
The following is a PBE calculation of crystalline Os2Ru8Rh at its relaxed geometry, from Alexandria.

Properties
Electronic total energy = -0.344 Ha/atom
Space-group type = C2/m
Formation energy = 0.097 eV per atom
Theoretical density = 13883 kg/m³
Total moment = 0.0 Bohr magnetons per cell

Cell: 7.1619 7.1619 6.0606 Å, 104.77 104.77 31.03°
Last column: nearest neighbours and their distance in Å.
Positions (direct):
Os  0.2277  0.2277  0.1354  10 Ru 2.69-2.71, 2 Os 2.70
Os  0.7723  0.7723  0.8646  10 Ru 2.69-2.71, 2 Os 2.70
Ru  0.0465  0.0465  0.2245  9 Ru 2.68-2.75, 1 Os 2.70, 2 Rh 2.73
Ru  0.1378  0.1378  0.6825  7 Ru 2.68-2.75, 3 Os 2.69-2.70, 2 Rh 2.72
Ru  0.3178  0.3178  0.5915  8 Ru 2.68-2.71, 3 Os 2.71, 1 Rh 2.72
Ru  0.4091  0.4091  0.0433  8 Ru 2.68-2.72, 3 Os 2.71, 1 Rh 2.72
Ru  0.5909  0.5909  0.9567  8 Ru 2.68-2.72, 3 Os 2.71, 1 Rh 2.72
Ru  0.6822  0.6822  0.4085  8 Ru 2.68-2.71, 3 Os 2.71, 1 Rh 2.72
Ru  0.8622  0.8622  0.3175  7 Ru 2.68-2.75, 3 Os 2.69-2.70, 2 Rh 2.72
Ru  0.9535  0.9535  0.7755  9 Ru 2.68-2.75, 1 Os 2.70, 2 Rh 2.73
Rh  0.5000  0.5000  0.5000  12 Ru 2.72-2.73



(3)
The following is a PBE calculation of crystalline CdCu2Pt at its relaxed geometry, from Alexandria.

Properties
Electronic total energy = -0.134 Ha/atom
Space-group type = I-42d
Formation energy = 0.148 eV per atom
Theoretical density = 10762 kg/m³
Total moment = 0.0 Bohr magnetons per cell

Cell: 9.5417 9.5417 9.5417 Å, 156.85 156.85 32.96°
Last column: nearest neighbours and their distance in Å.
Positions (direct):
Cd  0.0000  0.0000  0.0000  4 Cu 2.70, 4 Pt 2.71
Cd  0.7500  0.2500  0.5000  4 Cu 2.70, 4 Pt 2.71
Cu  0.1570  0.6250  0.0320  2 Cu 2.54, 2 Pt 2.62, 2 Cd 2.70
Cu  0.3750  0.4070  0.5320  2 Cu 2.54, 2 Pt 2.62, 2 Cd 2.70
Cu  0.5930  0.1250  0.9680  2 Cu 2.54, 2 Pt 2.62, 2 Cd 2.70
Cu  0.8750  0.8430  0.4680  2 Cu 2.54, 2 Pt 2.62, 2 Cd 2.70
Pt  0.2500  0.7500  0.5000  4 Cu 2.62, 4 Cd 2.71
Pt  0.5000  0.5000  0.0000  4 Cu 2.62, 4 Cd 2.71



(4)
The following is a PBE calculation of crystalline CaMg2Cd2Hg at its relaxed geometry, from Alexandria.

Properties
Electronic total energy = -0.053 Ha/atom
Space-group type = P-3m1
Formation energy = -0.234 eV per atom
Theoretical density = 6014 kg/m³
Total moment = 0.0 Bohr magnetons per cell

Cell: 5.0972 5.0972 6.3090 Å, 90.00 90.00 120.00°
Last column: nearest neighbours and their distance in Å.
Positions (direct):
Ca  0.0000  0.0000  0.0000  2 Hg 3.15, 6 Cd 3.17
Mg  0.3333  0.6667  0.6642  5 Cd 3.02-3.29, 3 Hg 3.12
Mg  0.6667  0.3333  0.3358  5 Cd 3.02-3.29, 3 Hg 3.12
Cd  0.3333  0.6667  0.1862  5 Mg 3.02-3.29, 3 Ca 3.17
Cd  0.6667  0.3333  0.8138  5 Mg 3.02-3.29, 3 Ca 3.17
Hg  0.0000  0.0000  0.5000  6 Mg 3.12, 2 Ca 3.15



(5)
The following is a PBE calculation of crystalline Sr2AsPd at its relaxed geometry, from Alexandria.

Properties
Electronic total energy = -0.152 Ha/atom
Space-group type = P2_1/m
Formation energy = -0.845 eV per atom
Theoretical density = 5186 kg/m³
Total moment = 0.0 Bohr magnetons per cell

Cell: 6.0930 4.5981 8.6128 Å, 90.00 108.86 90.00°
Last column: nearest neighbours and their distance in Å.
Positions (direct):
Sr  0.2036  0.2500  0.4227  3 Pd 3.12-3.31, 4 As 3.17-3.29
Sr  0.2890  0.7500  0.0654  3 Pd 3.12-3.29, 3 As 3.19-3.35
Sr  0.7110  0.2500  0.9346  3 Pd 3.12-3.29, 3 As 3.19-3.35
Sr  0.7964  0.7500  0.5773  3 Pd 3.12-3.31, 4 As 3.17-3.29
As  0.3462  0.7500  0.7098  2 Pd 2.67
As  0.6538  0.2500  0.2902  2 Pd 2.67
Pd  0.1728  0.2500  0.7771  2 As 2.67
Pd  0.8272  0.7500  0.2229  2 As 2.67



(6)
The following is a PBE calculation of crystalline Mg2TlPb at its relaxed geometry, from Alexandria.

Properties
Excess energy over the best structure of this formula in the dataset = 116 meV/atom
Electronic total energy = -0.083 Ha/atom
Space-group type = F-43m
Formation energy = 0.065 eV per atom
Theoretical density = 7055 kg/m³
Total moment = 0.0 Bohr magnetons per cell

Cell: 5.3506 5.3506 5.3506 Å, 60.00 60.00 60.00°
Last column: nearest neighbours and their distance in Å.
Positions (direct):
Mg  0.0000  0.0000  0.0000  4 Pb 3.28, 4 Mg 3.28
Mg  0.2500  0.2500  0.2500  4 Tl 3.28, 4 Mg 3.28
Tl  0.5000  0.5000  0.5000  4 Pb 3.28, 4 Mg 3.28
Pb  0.7500  0.7500  0.7500  4 Tl 3.28, 4 Mg 3.28



(7)
The following is a PBE calculation of crystalline In2AgHg at its relaxed geometry, from Alexandria.

Properties
Electronic total energy = -0.077 Ha/atom
Space-group type = Pmmm
Formation energy = 0.063 eV per atom
Theoretical density = 9508 kg/m³
Total moment = 0.0 Bohr magnetons per cell

Cell: 4.3826 4.4248 4.8459 Å, 90.00 90.00 90.00°
Last column: nearest neighbours and their distance in Å.
Positions (direct):
In  0.0000  0.0000  0.0000  4 Hg 3.11, 4 Ag 3.27, 4 In 3.28
In  0.0000  0.5000  0.5000  4 Ag 3.11, 4 Hg 3.27, 4 In 3.28
Ag  0.5000  0.0000  0.5000  8 In 3.11-3.27, 4 Hg 3.28
Hg  0.5000  0.5000  0.0000  8 In 3.11-3.27, 4 Ag 3.28



(8)
The following is a PBE calculation of crystalline Ba2LaPt at its relaxed geometry, from Alexandria.

Properties
Excess energy over the best structure of this formula in the dataset = 563 meV/atom
Electronic total energy = -0.137 Ha/atom
Space-group type = F-43m
Formation energy = -0.015 eV per atom
Theoretical density = 7843 kg/m³
Total moment = 0.0 Bohr magnetons per cell

Cell: 5.6696 5.6696 5.6696 Å, 60.00 60.00 60.00°
Last column: nearest neighbours and their distance in Å.
Positions (direct):
Ba  0.0000  0.0000  0.0000  4 La 3.47, 4 Ba 3.47
Ba  0.2500  0.2500  0.2500  4 Ba 3.47, 4 Pt 3.47
La  0.7500  0.7500  0.7500  4 Pt 3.47, 4 Ba 3.47
Pt  0.5000  0.5000  0.5000  4 La 3.47, 4 Ba 3.47



(9)
The following is a PBE calculation of crystalline Na2PmF5 at its relaxed geometry, from Alexandria.

Properties
Electronic total energy = -0.202 Ha/atom
Space-group type = Pnma
Theoretical density = 4122 kg/m³
Total moment = 0.2 Bohr magnetons per cell
Formation energy (no corrections) = -3.395 eV/atom

Cell: 9.9002 7.2007 6.4645 Å, 90.00 90.00 90.00°
Last column: nearest neighbours and their distance in Å.
Positions (direct):
Na  0.1761  0.0096  0.0095  6 F 2.37-2.54
Na  0.1761  0.4904  0.0095  6 F 2.37-2.54
Na  0.3239  0.5096  0.5095  6 F 2.37-2.54
Na  0.3239  0.9904  0.5095  6 F 2.37-2.54
Na  0.6761  0.0096  0.4905  6 F 2.37-2.54
Na  0.6761  0.4904  0.4905  6 F 2.37-2.54
Na  0.8239  0.5096  0.9905  6 F 2.37-2.54
Na  0.8239  0.9904  0.9905  6 F 2.37-2.54
Pm  0.0071  0.7500  0.4175  7 F 2.25-2.36
Pm  0.4929  0.2500  0.9175  7 F 2.25-2.36
Pm  0.5071  0.7500  0.0825  7 F 2.25-2.36
Pm  0.9929  0.2500  0.5825  7 F 2.25-2.36
F  0.0057  0.7500  0.0625  1 Pm 2.29, 4 Na 2.54
F  0.0966  0.0400  0.3543  2 Pm 2.31-2.35, 2 Na 2.37-2.49
F  0.0966  0.4600  0.3543  2 Pm 2.31-2.35, 2 Na 2.37-2.49
F  0.1817  0.7500  0.6397  1 Pm 2.25, 2 Na 2.38
F  0.2188  0.2500  0.6967  1 Pm 2.36, 2 Na 2.46
F  0.2812  0.7500  0.1967  1 Pm 2.36, 2 Na 2.46
F  0.3183  0.2500  0.1397  1 Pm 2.25, 2 Na 2.38
F  0.4034  0.5400  0.8543  2 Pm 2.31-2.35, 2 Na 2.37-2.49
F  0.4034  0.9600  0.8543  2 Pm 2.31-2.35, 2 Na 2.37-2.49
F  0.4943  0.2500  0.5625  1 Pm 2.29, 4 Na 2.54
F  0.5057  0.7500  0.4375  1 Pm 2.29, 4 Na 2.54
F  0.5966  0.0400  0.1457  2 Pm 2.31-2.35, 2 Na 2.37-2.49
F  0.5966  0.4600  0.1457  2 Pm 2.31-2.35, 2 Na 2.37-2.49
F  0.6817  0.7500  0.8603  1 Pm 2.25, 2 Na 2.38
F  0.7188  0.2500  0.8033  1 Pm 2.36, 2 Na 2.46
F  0.7812  0.7500  0.3033  1 Pm 2.36, 2 Na 2.46
F  0.8183  0.2500  0.3603  1 Pm 2.25, 2 Na 2.38
F  0.9034  0.5400  0.6457  2 Pm 2.31-2.35, 2 Na 2.37-2.49
F  0.9034  0.9600  0.6457  2 Pm 2.31-2.35, 2 Na 2.37-2.49
F  0.9943  0.2500  0.9375  1 Pm 2.29, 4 Na 2.54



(10)
The following is a PBE calculation of crystalline Mo2P at its relaxed geometry, from Alexandria.

Properties
Excess energy over the best structure of this formula in the dataset = 924 meV/atom
Electronic total energy = -0.312 Ha/atom
Space-group type = P6_3/mmc
Formation energy = 0.541 eV per atom
Theoretical density = 7588 kg/m³
Total moment = 0.0 Bohr magnetons per cell

Cell: 4.2400 4.2400 6.2648 Å, 90.00 90.00 120.00°
Last column: nearest neighbours and their distance in Å.
Positions (direct):
Mo  0.3333  0.6667  0.0488  4 Mo 2.52, 3 P 2.75
Mo  0.3333  0.6667  0.4512  4 Mo 2.52, 3 P 2.75
Mo  0.6667  0.3333  0.5488  4 Mo 2.52, 3 P 2.75
Mo  0.6667  0.3333  0.9512  4 Mo 2.52, 3 P 2.75
P  0.0000  0.0000  0.2500  12 Mo 2.75-3.08
P  0.0000  0.0000  0.7500  12 Mo 2.75-3.08



(11)
The following is a PBE calculation of crystalline Pr2AgSb4Rh3 at its relaxed geometry, from Alexandria.

Properties
Electronic total energy = -0.214 Ha/atom
Space-group type = P-4m2
Theoretical density = 8738 kg/m³
Total moment = 0.0 Bohr magnetons per cell
Formation energy (no corrections) = -0.714 eV/atom

Cell: 4.6047 4.6047 10.6249 Å, 90.00 90.00 90.00°
Last column: nearest neighbours and their distance in Å.
Positions (direct):
Pr  0.0000  0.5000  0.2496  8 Sb 3.46-3.51, 6 Rh 3.52-3.54, 2 Ag 3.52
Pr  0.5000  0.0000  0.7504  8 Sb 3.46-3.51, 6 Rh 3.52-3.54, 2 Ag 3.52
Ag  0.0000  0.0000  0.5000  4 Sb 2.74
Sb  0.0000  0.0000  0.0000  4 Rh 2.62
Sb  0.0000  0.5000  0.6390  3 Rh 2.58-2.74, 2 Ag 2.74
Sb  0.5000  0.0000  0.3610  3 Rh 2.58-2.74, 2 Ag 2.74
Sb  0.5000  0.5000  0.0000  4 Rh 2.62
Rh  0.0000  0.5000  0.8818  5 Sb 2.58-2.62
Rh  0.5000  0.0000  0.1182  5 Sb 2.58-2.62
Rh  0.5000  0.5000  0.5000  4 Sb 2.74